Entry from Alexandria: an optimized crystal structure of AgBi2Pd2 (PBEsol).

Calculated values
DOS at the Fermi energy ... 1.8 states/eV/f.u.
Formation enthalpy at 0 K ... -0.1793 eV per atom

Structure (CIF):
```
data_AgBi2Pd2
_symmetry_space_group_name_H-M 'P 4/m b m'
_symmetry_Int_Tables_number 127
_symmetry_space_group_name_Hall '-P 4 2ab'
_cell_length_a 7.343
_cell_length_b 7.343
_cell_length_c 3.798
_cell_angle_alpha 90.00
_cell_angle_beta 90.00
_cell_angle_gamma 90.00
loop_
_atom_site_label
_atom_site_type_symbol
_atom_site_fract_x
_atom_site_fract_y
_atom_site_fract_z
_atom_site_occupancy
Ag1 Ag 0.000 0.000 0.000 1
Bi1 Bi 0.167 0.333 0.500 1
Pd1 Pd 0.135 0.635 0.000 1
```